This record from OQMD via LeMat-Bulk describes a relaxed structure of KTmZnSe3. The functional is PBE-GGA.

Output
* DFT total energy: -4.118 eV per atom
* crystal system: monoclinic

Structure (CIF):
```
data_KTmZnSe3
_chemical_formula_sum 'K4 Tm4 Zn4 Se12'
_cell_length_a 18.255
_cell_length_b 4.138
_cell_length_c 8.739
_cell_angle_alpha 90.00
_cell_angle_beta 102.03
_cell_angle_gamma 90.00
_symmetry_space_group_name_H-M 'C 1 2/m 1'
_symmetry_Int_Tables_number 12
loop_
_symmetry_equiv_pos_as_xyz
'x,y,z'
'-x,-y,-z'
'-x,y,-z'
'x,-y,z'
'x+1/2,y+1/2,z'
'-x+1/2,-y+1/2,-z'
'-x+1/2,y+1/2,-z'
'x+1/2,-y+1/2,z'
loop_
_atom_site_label
_atom_site_type_symbol
_atom_site_fract_x
_atom_site_fract_y
_atom_site_fract_z
K1 K 0.141 0.000 0.067
Tm1 Tm 0.170 0.000 0.571
Zn1 Zn 0.027 0.500 0.732
Se1 Se 0.000 0.000 0.500
Se2 Se 0.000 0.500 0.000
Se3 Se 0.165 0.500 0.788
Se4 Se 0.173 0.500 0.357
```

This record from OQMD via LeMat-Bulk describes a relaxed structure of KTmZnSe3. The functional is PBE-GGA.

Output
* DFT total energy: -4.258 eV per atom
* crystal system: monoclinic

Structure (CIF):
```
data_KTmZnSe3
_chemical_formula_sum 'K2 Tm2 Zn2 Se6'
_cell_length_a 8.589
_cell_length_b 4.097
_cell_length_c 10.343
_cell_angle_alpha 90.00
_cell_angle_beta 109.39
_cell_angle_gamma 90.00
_symmetry_space_group_name_H-M 'P 1 21/m 1'
_symmetry_Int_Tables_number 11
loop_
_symmetry_equiv_pos_as_xyz
'x,y,z'
'-x,-y,-z'
'-x,y+1/2,-z'
'x,-y+1/2,z'
loop_
_atom_site_label
_atom_site_type_symbol
_atom_site_fract_x
_atom_site_fract_y
_atom_site_fract_z
K1 K 0.246 0.250 0.275
Tm1 Tm 0.320 0.750 0.863
Zn1 Zn 0.080 0.250 0.608
Se1 Se 0.083 0.250 0.843
Se2 Se 0.222 0.750 0.554
Se3 Se 0.457 0.750 0.147
```

This record from OQMD via LeMat-Bulk describes a relaxed structure of KU2Se5. The functional is PBE-GGA.

Output
* DFT total energy: -6.307 eV per atom
* crystal system: orthorhombic

Structure (CIF):
```
data_KU2Se5
_chemical_formula_sum 'K2 U4 Se10'
_cell_length_a 4.308
_cell_length_b 7.080
_cell_length_c 14.713
_cell_angle_alpha 90.00
_cell_angle_beta 90.00
_cell_angle_gamma 90.00
_symmetry_space_group_name_H-M 'I m m m'
_symmetry_Int_Tables_number 71
_symmetry_space_group_name_Hall '-I 2 2'
loop_
_atom_site_label
_atom_site_type_symbol
_atom_site_fract_x
_atom_site_fract_y
_atom_site_fract_z
K1 K 0.000 0.000 0.000
U1 U 0.000 0.500 0.186
Se1 Se 0.000 0.257 0.345
Se2 Se 0.000 0.500 0.000
```

This record from OQMD via LeMat-Bulk describes a relaxed structure of KW3Se5. The functional is PBE-GGA.

Output
* DFT total energy: -6.531 eV per atom
* crystal system: hexagonal

Structure (CIF):
```
data_KW3Se5
_chemical_formula_sum 'K1 W3 Se5'
_cell_length_a 5.7984
_cell_length_b 5.7984
_cell_length_c 7.6394
_cell_angle_alpha 90.00
_cell_angle_beta 90.00
_cell_angle_gamma 120.00
_symmetry_space_group_name_H-M 'P 6/m m m'
_symmetry_Int_Tables_number 191
_symmetry_space_group_name_Hall '-P 6 2'
loop_
_atom_site_label
_atom_site_type_symbol
_atom_site_fract_x
_atom_site_fract_y
_atom_site_fract_z
K1 K 0.0000 0.0000 0.0000
W1 W 0.0000 0.5000 0.5000
Se1 Se 0.0000 0.0000 0.5000
Se2 Se 0.3333 0.6667 0.2420
```

This record from OQMD via LeMat-Bulk describes a relaxed structure of K2W2Se5. The functional is PBE-GGA.

Output
* DFT total energy: -5.632 eV per atom
* crystal system: monoclinic

Structure (CIF):
```
data_K2W2Se5
_chemical_formula_sum 'K8 W8 Se20'
_cell_length_a 10.384
_cell_length_b 8.087
_cell_length_c 12.099
_cell_angle_alpha 90.00
_cell_angle_beta 110.39
_cell_angle_gamma 90.00
_symmetry_space_group_name_H-M 'C 1 2/c 1'
_symmetry_Int_Tables_number 15
loop_
_symmetry_equiv_pos_as_xyz
'x,y,z'
'-x,-y,-z'
'-x,y,-z+1/2'
'x,-y,z+1/2'
'x+1/2,y+1/2,z'
'-x+1/2,-y+1/2,-z'
'-x+1/2,y+1/2,-z+1/2'
'x+1/2,-y+1/2,z+1/2'
loop_
_atom_site_label
_atom_site_type_symbol
_atom_site_fract_x
_atom_site_fract_y
_atom_site_fract_z
K1 K 0.224 0.167 0.316
W1 W 0.119 0.327 0.953
Se1 Se 0.000 0.198 0.750
Se2 Se 0.014 0.383 0.107
Se3 Se 0.173 0.035 0.032
```

This record from OQMD via LeMat-Bulk describes a relaxed structure of KYZnSe3. The functional is PBE-GGA.

Output
* DFT total energy: -4.599 eV per atom
* crystal system: monoclinic

Structure (CIF):
```
data_KYZnSe3
_chemical_formula_sum 'K2 Y2 Zn2 Se6'
_cell_length_a 8.541
_cell_length_b 4.130
_cell_length_c 10.518
_cell_angle_alpha 90.00
_cell_angle_beta 109.17
_cell_angle_gamma 90.00
_symmetry_space_group_name_H-M 'P 1 21/m 1'
_symmetry_Int_Tables_number 11
loop_
_symmetry_equiv_pos_as_xyz
'x,y,z'
'-x,-y,-z'
'-x,y+1/2,-z'
'x,-y+1/2,z'
loop_
_atom_site_label
_atom_site_type_symbol
_atom_site_fract_x
_atom_site_fract_y
_atom_site_fract_z
K1 K 0.243 0.250 0.217
Y1 Y 0.185 0.750 0.637
Zn1 Zn 0.421 0.250 0.893
Se1 Se 0.045 0.750 0.354
Se2 Se 0.278 0.750 0.945
Se3 Se 0.428 0.250 0.664
```

This record from OQMD via LeMat-Bulk describes a relaxed structure of KYZnSe3. The functional is PBE-GGA.

Output
* DFT total energy: -4.461 eV per atom
* crystal system: monoclinic

Structure (CIF):
```
data_KYZnSe3
_chemical_formula_sum 'K4 Y4 Zn4 Se12'
_cell_length_a 18.497
_cell_length_b 4.191
_cell_length_c 8.718
_cell_angle_alpha 90.00
_cell_angle_beta 102.28
_cell_angle_gamma 90.00
_symmetry_space_group_name_H-M 'C 1 2/m 1'
_symmetry_Int_Tables_number 12
loop_
_symmetry_equiv_pos_as_xyz
'x,y,z'
'-x,-y,-z'
'-x,y,-z'
'x,-y,z'
'x+1/2,y+1/2,z'
'-x+1/2,-y+1/2,-z'
'-x+1/2,y+1/2,-z'
'x+1/2,-y+1/2,z'
loop_
_atom_site_label
_atom_site_type_symbol
_atom_site_fract_x
_atom_site_fract_y
_atom_site_fract_z
K1 K 0.140 0.000 0.068
Y1 Y 0.170 0.000 0.572
Zn1 Zn 0.028 0.500 0.733
Se1 Se 0.000 0.000 0.500
Se2 Se 0.000 0.500 0.000
Se3 Se 0.164 0.500 0.792
Se4 Se 0.174 0.500 0.355
```

This record from OQMD via LeMat-Bulk describes a relaxed structure of KZrZnSe3. The functional is PBE-GGA.

Output
* DFT total energy: -4.677 eV per atom
* crystal system: monoclinic

Structure (CIF):
```
data_KZrZnSe3
_chemical_formula_sum 'K2 Zr2 Zn2 Se6'
_cell_length_a 9.011
_cell_length_b 3.916
_cell_length_c 9.688
_cell_angle_alpha 90.00
_cell_angle_beta 110.68
_cell_angle_gamma 90.00
_symmetry_space_group_name_H-M 'P 1 21/m 1'
_symmetry_Int_Tables_number 11
loop_
_symmetry_equiv_pos_as_xyz
'x,y,z'
'-x,-y,-z'
'-x,y+1/2,-z'
'x,-y+1/2,z'
loop_
_atom_site_label
_atom_site_type_symbol
_atom_site_fract_x
_atom_site_fract_y
_atom_site_fract_z
K1 K 0.202 0.250 0.241
Zr1 Zr 0.351 0.750 0.875
Zn1 Zn 0.085 0.250 0.609
Se1 Se 0.126 0.250 0.870
Se2 Se 0.218 0.750 0.545
Se3 Se 0.461 0.750 0.171
```